Below is a relaxed structure of SrRu2C2, with properties calculated at the PBE level.

Lattice parameters (Å, degrees): 3.832 3.832 5.963 108.75 108.73 90.00
Positions (direct):
C1 0.676 0.676 0.353
Sr1 0.000 0.000 0.000
Ru1 0.750 0.250 0.500
Ru2 0.250 0.750 0.500
C2 0.324 0.324 0.647

Calculated values
Total energy ... -7.608 eV/atom
Total moment ... 0.000 μB per atom
Formation energy from the elements ... 0.64 eV per formula unit